VCl5F, relaxed, DFT PBE with a Hubbard U; space group = Imm2 (44); M_tot = 0.22 μB/f.u.; DFT total energy = -3.236 eV per atom
1.0
-4.014 4.472 3.405
4.014 -4.472 3.405
4.014 4.472 -3.405
V Cl F
1 5 1
direct
0.000 0.000 0.000
0.160 0.393 0.232
0.160 0.928 0.768
0.257 0.003 0.255
0.682 0.682 0.000
0.748 0.003 0.745
0.499 0.999 0.500